# 1
Material: Al2AgI6
Method: DFT, GGA-PBE
State: relaxed

* calculated total energy: -23.50 eV per formula unit

abc: 9.268 9.268 9.268
angles: 47.90 47.90 47.90
Atoms (fractional coordinates):
Al 0.000 0.000 0.000
Al 0.112 0.112 0.112
Ag 0.723 0.723 0.723
I 0.120 0.473 0.815
I 0.314 0.958 0.656
I 0.473 0.815 0.120
I 0.656 0.314 0.958
I 0.815 0.120 0.473
I 0.958 0.656 0.314

# 2
Material: UZnCo5Ge2
Method: DFT, GGA-PBE
State: relaxed

* calculated total energy: -57.83 eV per formula unit
* calculated formation energy: -0.0555 eV/atom

abc: 3.811 3.811 8.688
angles: 90.00 90.00 90.00
Atoms (fractional coordinates):
U 0.000 0.000 0.000
Zn 0.000 0.000 0.500
Co 0.000 0.500 0.207
Co 0.000 0.500 0.793
Co 0.500 0.000 0.207
Co 0.500 0.000 0.793
Co 0.500 0.500 0.000
Ge 0.500 0.500 0.361
Ge 0.500 0.500 0.639

# 3
Material: Te3RhPb
Method: DFT, GGA-PBE
State: relaxed

* energy relative to the lowest polymorph listed for this composition: 0.0 kJ/mol of atoms
* calculated total energy: -19.96 eV per formula unit

abc: 5.287 5.287 5.287
angles: 90.00 90.00 90.00
Atoms (fractional coordinates):
Te 0.000 0.000 0.500
Te 0.000 0.500 0.000
Te 0.500 0.000 0.000
Rh 0.000 0.000 0.000
Pb 0.500 0.500 0.500

# 4
Material: LaSm2YSe4
Method: DFT, GGA-PBE
State: relaxed

* calculated total energy: -49.52 eV per formula unit

abc: 7.236 4.147 7.325
angles: 90.00 108.99 90.00
Atoms (fractional coordinates):
La 0.000 0.000 0.000
Sm 0.500 0.000 0.500
Sm 0.500 0.500 0.000
Y 0.000 0.500 0.500
Se 0.247 0.000 0.741
Se 0.254 0.500 0.260
Se 0.746 0.500 0.740
Se 0.753 0.000 0.259